1.
VASP calculation (PBE) on HfBeGaFe after structural relaxation.

POSCAR file:
```
HfBeGaFe
1.0
0.000 3.003 3.003
3.003 0.000 3.003
3.003 3.003 0.000
Be Fe Ga Hf
1 1 1 1
Direct
0.250 0.250 0.250 Be
0.750 0.750 0.750 Fe
0.000 0.000 0.000 Ga
0.500 0.500 0.500 Hf
```

Summary:
Total magnetic moment, μB/cell: 1.005


2.
VASP calculation (PBE) on HfBeGaFe after structural relaxation.

POSCAR file:
```
HfBeGaFe
1.0
2.553 -3.052 1.464
-0.610 -1.593 3.882
-1.469 -3.950 0.464
Be Fe Ga Hf
1 1 1 1
Direct
0.500 0.500 0.500 Be
0.750 0.750 0.750 Fe
0.000 0.000 0.000 Ga
0.250 0.250 0.250 Hf
```

Summary:
Total magnetic moment, μB/cell: 0.023


Of them, the most stable is 1 and the least stable is 2.


1.
VASP calculation (PBE) on MgBeGaFe after structural relaxation.

POSCAR file:
```
MgBeGaFe
1.0
0.000 2.943 2.943
2.943 0.000 2.943
2.943 2.943 0.000
Be Fe Ga Mg
1 1 1 1
Direct
0.750 0.750 0.750 Be
0.250 0.250 0.250 Fe
0.000 0.000 0.000 Ga
0.500 0.500 0.500 Mg
```

Summary:
Total magnetic moment, μB/cell: 1.433


2.
VASP calculation (PBE) on MgBeGaFe after structural relaxation.

POSCAR file:
```
MgBeGaFe
1.0
1.301 -3.923 0.416
-1.940 -2.564 2.631
-2.313 -3.123 -1.469
Be Fe Ga Mg
1 1 1 1
Direct
0.500 0.500 0.500 Be
0.750 0.750 0.750 Fe
0.000 0.000 0.000 Ga
0.250 0.250 0.250 Mg
```

Summary:
Total magnetic moment, μB/cell: 1.305


Of them, the most stable is 2 and the least stable is 1.